(1)
! ZnTc2Hg, relaxed, DFT PBE; values from VASP
&SYSTEM
  ibrav = 0, nat = 4, ntyp = 3
/
ATOMIC_SPECIES
Hg 200.59 Hg.upf
Tc 98.00 Tc.upf
Zn 65.41 Zn.upf
CELL_PARAMETERS angstrom
-1.675 -1.285 -1.731
-0.844 -1.627 2.023
-6.247 5.593 1.892
ATOMIC_POSITIONS crystal
Hg 0.500 0.500 0.750
Tc 0.000 0.000 0.020
Tc 0.000 0.000 0.480
Zn 0.500 0.500 0.250
! Excess energy over the best structure of this formula in the dataset   414 meV/atom
! Calculated formation energy   0.54 eV per atom
! Symmetry   P4/mmm (123)
! Crystal system   tetragonal

(2)
! NaTlS2, relaxed, DFT PBE; values from VASP
&SYSTEM
  ibrav = 0, nat = 4, ntyp = 3
/
ATOMIC_SPECIES
Na 22.99 Na.upf
Tl 204.38 Tl.upf
S 32.06 S.upf
CELL_PARAMETERS angstrom
4.028 0.000 0.000
0.000 4.028 0.000
0.000 0.000 5.511
ATOMIC_POSITIONS crystal
Na 0.000 0.000 0.500
Tl 0.500 0.500 0.000
S 0.500 0.500 0.500
S 0.000 0.000 0.000
! Symmetry   P4/mmm (123)
! Uncorrected energy   -13.6 eV/cell
! Crystal system   tetragonal

(3)
! CaTm2SnAu4, relaxed, DFT PBE; values from VASP
&SYSTEM
  ibrav = 0, nat = 8, ntyp = 4
/
ATOMIC_SPECIES
Ca 40.08 Ca.upf
Tm 168.93 Tm.upf
Sn 118.71 Sn.upf
Au 196.97 Au.upf
CELL_PARAMETERS angstrom
4.962 0.000 0.000
2.481 4.297 0.000
2.481 1.432 8.300
ATOMIC_POSITIONS crystal
Ca 0.000 0.000 0.000
Tm 0.755 0.755 0.734
Tm 0.245 0.245 0.266
Sn 0.500 0.500 0.500
Au 0.372 0.372 0.884
Au 0.880 0.880 0.359
Au 0.120 0.120 0.641
Au 0.628 0.628 0.116
! Calculated formation energy   -0.76 eV per atom
! Symmetry   R-3m (166)
! Crystal system   trigonal

(4)
! Pr4CdGa3, relaxed, DFT PBE; values from VASP
&SYSTEM
  ibrav = 0, nat = 16, ntyp = 3
/
ATOMIC_SPECIES
Pr 140.91 Pr.upf
Ga 69.72 Ga.upf
Cd 112.41 Cd.upf
CELL_PARAMETERS angstrom
5.316 0.000 0.000
0.000 7.581 0.000
0.000 0.000 10.633
ATOMIC_POSITIONS crystal
Pr 0.500 0.756 0.000
Pr 0.500 0.756 0.500
Pr 0.500 0.244 0.000
Pr 0.500 0.244 0.500
Pr 0.000 0.756 0.750
Pr 0.000 0.756 0.250
Pr 0.000 0.244 0.250
Pr 0.000 0.244 0.750
Ga 0.000 0.000 0.000
Ga 0.000 0.000 0.500
Ga 0.499 0.000 0.750
Ga 0.501 0.000 0.250
Ga 0.500 0.500 0.750
Ga 0.500 0.500 0.250
Cd 0.000 0.500 0.000
Cd 0.000 0.500 0.500
! Calculated formation energy   -0.48 eV per atom
! Symmetry   P4/mmm (123)
! Crystal system   tetragonal

(5)
! MgTaSN2, relaxed, DFT PBE; values from VASP
&SYSTEM
  ibrav = 0, nat = 5, ntyp = 4
/
ATOMIC_SPECIES
S 32.06 S.upf
N 14.01 N.upf
Mg 24.30 Mg.upf
Ta 180.95 Ta.upf
CELL_PARAMETERS angstrom
-1.607 3.080 -1.554
-2.618 -2.205 -1.663
-2.745 0.448 3.726
ATOMIC_POSITIONS crystal
S 0.000 0.000 0.500
N 0.000 0.500 0.000
N 0.500 0.000 0.000
Mg 0.000 0.000 0.000
Ta 0.500 0.500 0.500
! Excess energy over the best structure of this formula in the dataset   1448 meV/atom
! Symmetry   P4/mmm (123)
! Crystal system   tetragonal

(6)
! FeCoTe, relaxed, DFT PBE; values from VASP
&SYSTEM
  ibrav = 0, nat = 3, ntyp = 3
/
ATOMIC_SPECIES
Co 58.93 Co.upf
Fe 55.84 Fe.upf
Te 127.60 Te.upf
CELL_PARAMETERS angstrom
4.498 -0.012 0.014
3.168 3.193 0.030
1.330 0.538 3.159
ATOMIC_POSITIONS crystal
Co 0.999 0.999 0.001
Fe 0.335 0.335 0.665
Te 0.666 0.666 0.334
! Excess energy over the best structure of this formula in the dataset   346 meV/atom
! Symmetry   I4mm (107)
! Crystal system   tetragonal